No. 1
AgSn2IO | PBE-GGA | relaxed

a b c (Å): 6.027 6.027 3.947
angles (deg): 90.00 90.00 90.00
Positions (direct):
Ag1 0.000 0.000 0.000
Sn1 0.000 0.500 0.500
Sn2 0.500 0.000 0.500
I1 0.500 0.500 0.500
O1 0.500 0.500 0.000

Values from the calculation:
E_form (uncorrected) = 2.3 eV per formula unit
calculated total energy = -3.0037 eV/atom
SG = P4/mmm
magnetic moment = 0.000 μB/f.u.

---

No. 2
Cs2K2Hg | PBE-GGA | relaxed

a b c (Å): 10.067 10.067 7.772
angles (deg): 90.00 90.00 90.00
Positions (direct):
Cs1 0.162 0.338 0.000
Cs2 0.338 0.838 0.000
Cs3 0.662 0.162 0.000
Cs4 0.838 0.662 0.000
K1 0.169 0.669 0.500
K2 0.331 0.169 0.500
K3 0.669 0.831 0.500
K4 0.831 0.331 0.500
Hg1 0.000 0.000 0.000
Hg2 0.500 0.500 0.000

Values from the calculation:
calculated total energy = -0.8416 eV/atom
SG = P4/mbm
magnetic moment = 0.000 μB/f.u.
formation enthalpy at 0 K = 0.00 eV per atom
ΔE to the lowest computed polymorph = 98 meV per atom

---

No. 3
La3Pr6Ho2 | PBE-GGA | relaxed

a b c (Å): 6.358 6.398 9.800
angles (deg): 83.61 89.85 80.29
Positions (direct):
La1 0.000 0.000 0.000
La2 0.184 0.910 0.362
La3 0.816 0.090 0.638
Pr1 0.093 0.457 0.179
Pr2 0.273 0.363 0.549
Pr3 0.364 0.815 0.732
Pr4 0.636 0.185 0.268
Pr5 0.727 0.637 0.451
Pr6 0.907 0.543 0.821
Ho1 0.454 0.272 0.912
Ho2 0.546 0.728 0.088

Values from the calculation:
calculated total energy = -4.7666 eV/atom
SG = P-1
magnetic moment = 0.000 μB/f.u.
formation enthalpy at 0 K = 0.02 eV per atom
ΔE to the lowest computed polymorph = 0 meV per atom

---

No. 4
Ca2YOs | PBE-GGA | relaxed

a b c (Å): 5.349 5.349 7.402
angles (deg): 110.01 110.01 39.40
Positions (direct):
Ca1 0.000 0.000 0.000
Ca2 0.172 0.172 0.645
Y1 0.821 0.821 0.321
Os1 0.540 0.540 0.322

Values from the calculation:
calculated total energy = -5.2601 eV/atom
SG = Cm
magnetic moment = 0.000 μB/f.u.
formation enthalpy at 0 K = 0.16 eV per atom
ΔE to the lowest computed polymorph = 78 meV per atom

---

No. 5
Hf3In3Tc2 | PBE-GGA | relaxed

a b c (Å): 7.472 7.472 3.341
angles (deg): 90.00 90.00 120.00
Positions (direct):
Hf1 0.000 0.424 0.000
Hf2 0.424 0.000 0.000
Hf3 0.576 0.576 0.000
In1 0.000 0.766 0.500
In2 0.234 0.234 0.500
In3 0.766 0.000 0.500
Tc1 0.333 0.667 0.500
Tc2 0.667 0.333 0.500

Values from the calculation:
calculated total energy = -7.5479 eV/atom
SG = P-62m
magnetic moment = 0.000 μB/f.u.
formation enthalpy at 0 K = -0.20 eV per atom

---

No. 6
HgMoAs2 | PBE-GGA | relaxed

a b c (Å): 9.923 9.923 9.923
angles (deg): 18.41 18.41 18.41
Positions (direct):
Hg1 0.000 0.000 0.000
Mo1 0.500 0.500 0.500
As1 0.229 0.229 0.229
As2 0.771 0.771 0.771

Values from the calculation:
calculated total energy = -5.1425 eV/atom
SG = R-3m
magnetic moment = 0.000 μB/f.u.
formation enthalpy at 0 K = -0.03 eV per atom

---

No. 7
LaCuW2I | PBE-GGA | relaxed

a b c (Å): 4.997 4.997 6.151
angles (deg): 90.00 90.00 90.00
Positions (direct):
La1 0.000 0.000 0.000
Cu1 0.500 0.500 0.500
W1 0.000 0.500 0.000
W2 0.500 0.000 0.000
I1 0.000 0.000 0.500

Values from the calculation:
E_form (uncorrected) = 13.0 eV per formula unit
calculated total energy = -4.6944 eV/atom
SG = P4/mmm
magnetic moment = 2.155 μB/f.u.

---

No. 8
BaCdP2S | PBE-GGA | relaxed

a b c (Å): 5.014 5.014 5.283
angles (deg): 90.00 90.00 90.00
Positions (direct):
Ba1 0.000 0.000 0.000
Cd1 0.500 0.500 0.500
P1 0.000 0.500 0.500
P2 0.500 0.000 0.500
S1 0.500 0.500 0.000

Values from the calculation:
E_form (uncorrected) = 0.0 eV per formula unit
calculated total energy = -3.5651 eV/atom
SG = P4/mmm
magnetic moment = 0.000 μB/f.u.
ΔE to the lowest computed polymorph = 0 meV per atom